Record 1
Below is a geometry-optimized RbLiSn structure, with properties calculated at the PBE level.

The space group is I4mm (No. 107) and the conventional cell measures 3.8660, 3.8660 and 13.3384 Å, with angles of 90.00, 90.00 and 90.00 degrees. Symmetry generates all atoms from Rb at (0.0000, 0.0000, 0.0000), Li at (0.0000, 0.0000, 0.2755) and Sn at (0.0000, 0.0000, 0.7038).

The calculation puts the calculated volume at 33.2 Å³/atom. The excess energy over the best structure of this formula in the dataset is 0.130 eV/atom.


Record 2
Below is a geometry-optimized PrCo3C structure, with properties calculated at the PBE level.

The space group is Cmcm (No. 63) and the conventional cell measures 9.2755, 11.1421 and 5.3868 Å, with angles of 90.00, 90.00 and 90.00 degrees. Symmetry generates all atoms from Pr at (0.1816, 0.1377, 0.2500), Co at (0.0000, 0.3013, 0.5241), Co at (0.1241, 0.5000, 0.0000), Co at (0.1914, 0.1334, 0.7500), C at (0.0000, 0.1628, 0.7500) and C at (0.0000, 0.4210, 0.2500).

The calculation puts the total DFT energy (no corrections) at -6.849 eV per atom. The calculation puts the calculated volume at 13.9 Å³/atom.


Record 3
Below is a geometry-optimized Cs2TmZn2S4 structure, with properties calculated at the PBE level.

The space group is C2/m (No. 12) and the conventional cell measures 16.2622, 3.9213 and 8.3846 Å, with angles of 90.00, 112.47 and 90.00 degrees. Symmetry generates all atoms from Cs at (0.1301, 0.0000, 0.0638), Tm at (0.0000, 0.0000, 0.5000), Zn at (0.1783, 0.5000, 0.5229), S at (0.0329, 0.5000, 0.3039) and S at (0.1790, 0.0000, 0.6925).

The calculation puts the calculated volume at 27.4 Å³/atom. The formation energy (no corrections) comes out at -1.156 eV per atom.


Record 4
Below is a geometry-optimized PuH3 structure, with properties calculated at the PBE level.

The space group is Pmm2 (No. 25) and the conventional cell measures 2.3469, 2.7659 and 5.1761 Å, with angles of 90.00, 90.00 and 90.00 degrees. Symmetry generates all atoms from Pu at (0.0000, 0.0000, 0.0000), H at (0.0000, 0.5000, 0.3385), H at (0.5000, 0.0000, 0.6758) and H at (0.5000, 0.5000, 0.2984).

The calculation puts the total DFT energy (no corrections) at -5.609 eV per atom. The calculation puts the calculated volume at 8.4 Å³/atom.


Record 5
Below is a geometry-optimized KLaZn2 structure, with properties calculated at the PBE level.

The space group is Fm-3m (No. 225) and the conventional cell measures 7.6779, 7.6779 and 7.6779 Å, with angles of 90.00, 90.00 and 90.00 degrees. Symmetry generates all atoms from K at (0.0000, 0.0000, 0.0000), La at (0.0000, 0.0000, 0.5000) and Zn at (0.2500, 0.2500, 0.2500).

The calculation puts the calculated volume at 28.3 Å³/atom. The excess energy over the best structure of this formula in the dataset is 0.114 eV/atom.


Record 6
Below is a geometry-optimized La3DyTh3 structure, with properties calculated at the PBE level.

The space group is P6_3/m (No. 176) and the conventional cell measures 9.6735, 9.6735 and 5.9516 Å, with angles of 90.00, 90.00 and 120.00 degrees. Symmetry generates all atoms from La at (0.0449, 0.2472, 0.2500), Dy at (0.3333, 0.6667, 0.2500) and Th at (0.1053, 0.4942, 0.7500).

The calculation puts the total DFT energy (no corrections) at -5.882 eV per atom. The calculation puts the calculated volume at 34.5 Å³/atom.


Record 7
Below is a geometry-optimized CdSbHPd4 structure, with properties calculated at the PBE level.

The space group is Cmcm (No. 63) and the conventional cell measures 5.6416, 13.8107 and 5.6801 Å, with angles of 90.00, 90.00 and 90.00 degrees. Symmetry generates all atoms from Cd at (0.0000, 0.0986, 0.2500), Sb at (0.0000, 0.3964, 0.2500), H at (0.0000, 0.2443, 0.7500), Pd at (0.0000, 0.0982, 0.7500), Pd at (0.0000, 0.4112, 0.7500) and Pd at (0.2500, 0.2500, 0.0000).

The calculation puts the total DFT energy (no corrections) at -4.441 eV per atom. The calculation puts the calculated volume at 15.8 Å³/atom.


Record 8
Below is a geometry-optimized LaBeBr2 structure, with properties calculated at the PBE level.

The space group is P2/m (No. 10) and the conventional cell measures 4.0753, 4.9222 and 5.7039 Å, with angles of 90.00, 90.38 and 90.00 degrees. Symmetry generates all atoms from La at (0.0000, 0.0000, 0.0000), Be at (0.5000, 0.0000, 0.5000) and Br at (0.2460, 0.5000, 0.2525).

The calculation puts the calculated volume at 28.6 Å³/atom. The excess energy over the best structure of this formula in the dataset is 0.384 eV/atom. The formation energy (no corrections) comes out at -0.409 eV per atom.